No. 1
5
Lattice="-0.022 -2.811 2.762 3.862 -0.566 -0.545 0.797 2.742 2.798" Properties=species:S:1:pos:R:3 comment="TiMoHIr2 | the Alexandria database | PBE-GGA | optimized geometry" polymorph_energy_ev_per_atom=0.000 pbc="T T T"
Ir 1.931 -0.283 -0.272
Ir -0.011 -1.406 1.381
Mo 2.318 -0.318 2.507
Ti 0.398 1.371 1.399
H 0.000 0.000 0.000

---

No. 2
9
Lattice="-2.655 1.821 -1.010 -3.579 -7.790 -4.639 -4.748 3.643 7.786" Properties=species:S:1:pos:R:3 comment="Ce6Tm2Th | the Alexandria database | PBE-GGA | optimized geometry" formation_energy_mev_per_atom=83.7 pbc="T T T"
Ce -5.571 -6.176 -2.126
Ce -5.411 3.851 4.263
Tm -5.715 -2.753 -1.209
Ce -2.438 -1.507 -1.944
Tm -5.267 0.427 3.346
Ce -7.702 -1.135 1.294
Ce -3.280 -1.190 0.843
Ce -3.796 -4.462 -3.704
Th 0.000 0.000 0.000

---

No. 3
15
Lattice="6.087 0.000 0.000 -3.043 5.271 0.000 0.000 0.000 9.487" Properties=species:S:1:pos:R:3 comment="Sm3P2Rh9Pb | the Alexandria database | PBE-GGA | optimized geometry" formation_energy_mev_per_atom=-589.7 pbc="T T T"
Sm 3.043 1.757 2.602
Rh 1.669 4.478 2.505
P 0.000 3.514 1.484
Pb 0.000 0.000 4.744
Sm 0.000 0.000 0.000
Rh 1.375 0.794 6.982
Sm 0.000 3.514 6.885
Rh 4.712 0.794 6.982
Rh 1.522 2.636 0.000
Rh 3.043 3.684 6.982
Rh -1.522 2.636 0.000
P 3.043 1.757 8.003
Rh 0.000 1.588 2.505
Rh 3.043 0.000 0.000
Rh -1.669 4.478 2.505

---

No. 4
8
Lattice="-2.815 -2.775 5.466 5.772 0.824 3.392 0.633 1.521 5.261" Properties=species:S:1:pos:R:3 comment="CdFe2W | the Alexandria database | PBE-GGA | optimized geometry" formation_energy_mev_per_atom=908.1 pbc="T T T"
Cd 3.942 0.685 6.541
Cd 1.479 -0.975 4.429
Fe 3.296 -0.533 11.833
Fe 3.528 0.661 3.897
W 0.000 0.000 0.000
W -0.352 -1.115 7.578
Fe -0.993 -1.363 5.376
Fe 1.351 0.376 7.130

---

No. 5
4
Lattice="4.359 0.000 0.000 -2.179 3.775 0.000 0.000 0.000 10.159" Properties=species:S:1:pos:R:3 comment="SrBr | the Alexandria database | PBE-GGA | optimized geometry" e_form_raw_ev_per_atom=-1.334 pbc="T T T"
Sr 2.179 1.258 1.968
Sr 0.000 2.517 7.048
Br 0.000 2.517 3.944
Br 2.179 1.258 9.024

---

No. 6
30
Lattice="6.977 0.000 4.028 2.326 6.578 4.028 0.000 0.000 8.056" Properties=species:S:1:pos:R:3 comment="TaNi23Pt6 | the Alexandria database | PBE-GGA | optimized geometry" formation_energy_mev_per_atom=-11.7 pbc="T T T"
Ni 6.147 4.346 5.466
Ni 4.674 0.814 4.028
Ni 1.163 3.289 2.014
Pt 5.727 1.767 9.920
Ni 3.488 0.000 6.042
Ni 0.000 0.000 4.028
Pt 3.575 4.811 9.920
Ni 7.642 2.231 8.056
Ni 3.156 2.231 10.646
Ni 6.977 2.443 12.084
Ni 4.651 3.289 4.028
Ni 0.000 0.000 0.000
Pt 5.727 1.767 6.192
Ni 1.152 0.814 6.061
Pt 3.575 4.811 6.192
Ni 4.651 0.117 8.056
Ni 8.151 5.763 14.117
Ni 1.163 3.289 6.042
Ni 3.156 2.231 5.466
Ni 6.147 4.346 10.646
Ni 1.152 0.814 1.994
Ni 1.660 4.346 8.056
Ni 2.326 4.135 4.028
Ni 3.488 0.000 2.014
Ni 4.651 6.461 8.056
Pt 6.803 4.811 8.056
Ni 4.629 5.763 12.084
Ni 8.151 5.763 10.050
Ta 4.651 3.289 8.056
Pt 2.499 1.767 8.056

---

No. 7
4
Lattice="-0.419 3.068 -2.589 -0.523 -0.736 -3.933 -9.352 0.587 -0.937" Properties=species:S:1:pos:R:3 comment="Dy2TeCl | the Alexandria database | PBE-GGA | optimized geometry" e_form_raw_ev_per_atom=-1.124 pbc="T T T"
Te -5.147 1.459 -3.729
Dy -3.524 2.277 -6.168
Dy -6.769 0.642 -1.290
Cl 0.000 0.000 0.000

---

No. 8
8
Lattice="7.238 0.000 0.000 0.000 7.238 0.000 3.619 3.619 3.640" Properties=species:S:1:pos:R:3 comment="LaSb2H | the Alexandria database | PBE-GGA | optimized geometry" polymorph_energy_ev_per_atom=0.000 pbc="T T T"
H 3.619 3.619 0.000
Sb 4.575 1.809 0.910
H 3.619 7.238 1.820
La 7.238 3.619 1.820
Sb 5.428 6.282 2.730
Sb 2.663 5.428 0.910
Sb 9.047 8.194 2.730
La 0.000 0.000 0.000